(1)
Entry from Alexandria: an optimized crystal structure of Y2AlOs (PBE).

Calculated density, kg/m3: 6731
Calculated formation energy, eV/atom: 0.22

```
data_Y2AlOs
_cell_length_a 8.3054
_cell_length_b 8.3054
_cell_length_c 5.6509
_cell_angle_alpha 90.00
_cell_angle_beta 90.00
_cell_angle_gamma 90.00
_space_group_name_H-M_alt 'I -4 2 d'
_space_group_IT_number 122
_space_group_name_Hall 'I -4 2bw'
loop_
_atom_site_label
_atom_site_type_symbol
_atom_site_fract_x
_atom_site_fract_y
_atom_site_fract_z
Y1 Y 0.1845 0.7500 0.1250
Al1 Al 0.0000 0.0000 0.5000
Os1 Os 0.0000 0.0000 0.0000
```

(2)
Entry from Alexandria: an optimized crystal structure of CuIBr3 (PBE).

Calculated density, kg/m3: 3534
Offset from the most stable computed form, meV per atom: 0.0
ΔE_f (raw), eV/atom: -0.1589

```
data_CuIBr3
_cell_length_a 6.9544
_cell_length_b 7.0547
_cell_length_c 8.3598
_cell_angle_alpha 95.11
_cell_angle_beta 92.54
_cell_angle_gamma 97.68
_space_group_name_H-M_alt 'P 1'
_space_group_IT_number 1
loop_
_space_group_symop_operation_xyz
'x,y,z'
loop_
_atom_site_label
_atom_site_type_symbol
_atom_site_fract_x
_atom_site_fract_y
_atom_site_fract_z
Cu1 Cu 0.0000 0.0000 0.0000
Cu2 Cu 0.4984 0.9989 0.9959
I1 I 0.5700 0.5834 0.4796
I2 I 0.9279 0.4173 0.5173
Br1 Br 0.0847 0.0953 0.4825
Br2 Br 0.2181 0.7601 0.9976
Br3 Br 0.2804 0.2387 0.9989
Br4 Br 0.4133 0.9055 0.5145
Br5 Br 0.7189 0.7612 0.9976
Br6 Br 0.7796 0.2378 0.9987
```

(3)
Entry from Alexandria: an optimized crystal structure of KRe2Ru (PBE).

Calculated density, kg/m3: 12359
Calculated formation energy, eV/atom: 1.78
Offset from the most stable computed form, meV per atom: 1073.2

```
data_KRe2Ru
_cell_length_a 3.8091
_cell_length_b 3.8091
_cell_length_c 9.4933
_cell_angle_alpha 90.00
_cell_angle_beta 90.00
_cell_angle_gamma 90.00
_space_group_name_H-M_alt 'I 4/m m m'
_space_group_IT_number 139
_space_group_name_Hall '-I 4 2'
loop_
_atom_site_label
_atom_site_type_symbol
_atom_site_fract_x
_atom_site_fract_y
_atom_site_fract_z
K1 K 0.0000 0.0000 0.0000
Re1 Re 0.0000 0.5000 0.2500
Ru1 Ru 0.0000 0.0000 0.5000
```

(4)
Entry from Alexandria: an optimized crystal structure of AsI (PBE).

Calculated density, kg/m3: 3453
ΔE_f (raw), eV/atom: -0.0213

```
data_AsI
_cell_length_a 14.1073
_cell_length_b 14.1073
_cell_length_c 3.9021
_cell_angle_alpha 90.00
_cell_angle_beta 90.00
_cell_angle_gamma 90.00
_space_group_name_H-M_alt 'P 4/m'
_space_group_IT_number 83
loop_
_space_group_symop_operation_xyz
'x,y,z'
'-x,-y,-z'
'-y,x,z'
'y,-x,-z'
'-x,-y,z'
'x,y,-z'
'y,-x,z'
'-y,x,-z'
loop_
_atom_site_label
_atom_site_type_symbol
_atom_site_fract_x
_atom_site_fract_y
_atom_site_fract_z
As1 As 0.1841 0.2823 0.0000
As2 As 0.2395 0.7039 0.5000
I1 I 0.0625 0.7533 0.5000
I2 I 0.2308 0.4601 0.0000
```

(5)
Entry from Alexandria: an optimized crystal structure of MnZnBr2 (PBE).

Calculated density, kg/m3: 3552
Offset from the most stable computed form, meV per atom: 0.0
ΔE_f (raw), eV/atom: -0.3490

```
data_MnZnBr2
_cell_length_a 3.8353
_cell_length_b 3.8353
_cell_length_c 30.8458
_cell_angle_alpha 90.00
_cell_angle_beta 90.00
_cell_angle_gamma 120.00
_space_group_name_H-M_alt 'R -3 m'
_space_group_IT_number 166
_space_group_name_Hall '-R 3 2"'
loop_
_atom_site_label
_atom_site_type_symbol
_atom_site_fract_x
_atom_site_fract_y
_atom_site_fract_z
Mn1 Mn 0.0000 0.0000 0.0000
Zn1 Zn 0.0000 0.0000 0.5000
Br1 Br 0.0000 0.0000 0.2836
```

(6)
Entry from Alexandria: an optimized crystal structure of FeSnN (PBE).

Calculated density, kg/m3: 5042
Offset from the most stable computed form, meV per atom: 0.0
ΔE_f (raw), eV/atom: 0.1481

```
data_FeSnN
_cell_length_a 4.4568
_cell_length_b 4.4569
_cell_length_c 12.6859
_cell_angle_alpha 90.00
_cell_angle_beta 99.67
_cell_angle_gamma 90.00
_space_group_name_H-M_alt 'C 1 2/m 1'
_space_group_IT_number 12
loop_
_space_group_symop_operation_xyz
'x,y,z'
'-x,-y,-z'
'-x,y,-z'
'x,-y,z'
'x+1/2,y+1/2,z'
'-x+1/2,-y+1/2,-z'
'-x+1/2,y+1/2,-z'
'x+1/2,-y+1/2,z'
loop_
_atom_site_label
_atom_site_type_symbol
_atom_site_fract_x
_atom_site_fract_y
_atom_site_fract_z
Fe1 Fe 0.2281 0.0000 0.4536
Sn1 Sn 0.1624 0.5000 0.3164
N1 N 0.0237 0.0000 0.0446
```

(7)
Entry from Alexandria: an optimized crystal structure of Ni2Te2As (PBE).

Calculated density, kg/m3: 7357
ΔE_f (raw), eV/atom: 0.4520

```
data_Ni2Te2As
_cell_length_a 4.3957
_cell_length_b 4.3957
_cell_length_c 10.4552
_cell_angle_alpha 90.00
_cell_angle_beta 90.00
_cell_angle_gamma 90.00
_space_group_name_H-M_alt 'I 4/m m m'
_space_group_IT_number 139
_space_group_name_Hall '-I 4 2'
loop_
_atom_site_label
_atom_site_type_symbol
_atom_site_fract_x
_atom_site_fract_y
_atom_site_fract_z
Ni1 Ni 0.0000 0.0000 0.1167
Te1 Te 0.0000 0.5000 0.2500
As1 As 0.0000 0.0000 0.5000
```

(8)
Entry from Alexandria: an optimized crystal structure of CsKH2 (PBE).

Calculated density, kg/m3: 2459
Offset from the most stable computed form, meV per atom: 31.7

```
data_CsKH2
_cell_length_a 6.9292
_cell_length_b 6.9303
_cell_length_c 9.7897
_cell_angle_alpha 90.00
_cell_angle_beta 90.16
_cell_angle_gamma 90.00
_space_group_name_H-M_alt 'C 1 2/m 1'
_space_group_IT_number 12
loop_
_space_group_symop_operation_xyz
'x,y,z'
'-x,-y,-z'
'-x,y,-z'
'x,-y,z'
'x+1/2,y+1/2,z'
'-x+1/2,-y+1/2,-z'
'-x+1/2,y+1/2,-z'
'x+1/2,-y+1/2,z'
loop_
_atom_site_label
_atom_site_type_symbol
_atom_site_fract_x
_atom_site_fract_y
_atom_site_fract_z
Cs1 Cs 0.2485 0.0000 0.3346
K1 K 0.2494 0.5000 0.0945
H1 H 0.0000 0.2492 0.0000
H2 H 0.2505 0.0000 0.6355
```

(9)
Entry from Alexandria: an optimized crystal structure of BaY2Nb2 (PBE).

Calculated density, kg/m3: 5208
Calculated formation energy, eV/atom: 0.76
Offset from the most stable computed form, meV per atom: 300.2

```
data_BaY2Nb2
_cell_length_a 5.1223
_cell_length_b 5.1223
_cell_length_c 12.1763
_cell_angle_alpha 90.00
_cell_angle_beta 90.00
_cell_angle_gamma 90.00
_space_group_name_H-M_alt 'I 4/m m m'
_space_group_IT_number 139
_space_group_name_Hall '-I 4 2'
loop_
_atom_site_label
_atom_site_type_symbol
_atom_site_fract_x
_atom_site_fract_y
_atom_site_fract_z
Ba1 Ba 0.0000 0.0000 0.0000
Y1 Y 0.0000 0.5000 0.2500
Nb1 Nb 0.0000 0.0000 0.4070
```

(10)
Entry from Alexandria: an optimized crystal structure of MgTi2Al (PBE).

Calculated density, kg/m3: 3279
Calculated formation energy, eV/atom: 0.36

```
data_MgTi2Al
_cell_length_a 7.4565
_cell_length_b 7.4565
_cell_length_c 5.3568
_cell_angle_alpha 90.00
_cell_angle_beta 90.00
_cell_angle_gamma 90.00
_space_group_name_H-M_alt 'I -4 2 d'
_space_group_IT_number 122
_space_group_name_Hall 'I -4 2bw'
loop_
_atom_site_label
_atom_site_type_symbol
_atom_site_fract_x
_atom_site_fract_y
_atom_site_fract_z
Mg1 Mg 0.0000 0.0000 0.0000
Ti1 Ti 0.2402 0.7500 0.6250
Al1 Al 0.0000 0.0000 0.5000
```

(11)
Entry from Alexandria: an optimized crystal structure of KZn2Os (PBE).

Calculated density, kg/m3: 8423
Calculated formation energy, eV/atom: 0.60
Offset from the most stable computed form, meV per atom: 189.9

```
data_KZn2Os
_cell_length_a 2.9428
_cell_length_b 4.6980
_cell_length_c 10.2709
_cell_angle_alpha 90.00
_cell_angle_beta 90.00
_cell_angle_gamma 90.00
_space_group_name_H-M_alt 'C m m m'
_space_group_IT_number 65
_space_group_name_Hall '-C 2 2'
loop_
_atom_site_label
_atom_site_type_symbol
_atom_site_fract_x
_atom_site_fract_y
_atom_site_fract_z
K1 K 0.0000 0.0000 0.0000
Zn1 Zn 0.0000 0.5000 0.2842
Os1 Os 0.0000 0.0000 0.5000
```

(12)
Entry from Alexandria: an optimized crystal structure of NdErMnZn (PBE).

Calculated density, kg/m3: 7727
Calculated formation energy, eV/atom: -0.02

```
data_NdErMnZn
_cell_length_a 7.1868
_cell_length_b 7.1868
_cell_length_c 7.1868
_cell_angle_alpha 90.00
_cell_angle_beta 90.00
_cell_angle_gamma 90.00
_space_group_name_H-M_alt 'F -4 3 m'
_space_group_IT_number 216
_space_group_name_Hall 'F -4 2 3'
loop_
_atom_site_label
_atom_site_type_symbol
_atom_site_fract_x
_atom_site_fract_y
_atom_site_fract_z
Nd1 Nd 0.0000 0.0000 0.0000
Er1 Er 0.0000 0.0000 0.5000
Mn1 Mn 0.2500 0.2500 0.7500
Zn1 Zn 0.2500 0.2500 0.2500
```